VASP calculation (PBE with a Hubbard U) on Na2FeSbO4 after structural relaxation.

Unit cell a=6.792 b=6.731 c=5.606 alpha=90.00 beta=125.86 gamma=90.00
Space group C2 (No. 5)
Unique sites:
Na  0.000  0.000  0.000 (multiplicity 2)
Na  0.000  0.246  0.500 (multiplicity 2)
Fe  0.000  0.492  0.000 (multiplicity 2)
Sb  0.000  0.733  0.500 (multiplicity 2)
O  0.197  0.534  0.451 (multiplicity 4)
O  0.240  0.766  0.949 (multiplicity 4)

Output
The calculated total energy is -5.459 eV/atom.